Compound: Ba2MnSiO
Source: the Alexandria database
Functional: PBE with a Hubbard U
Structure: relaxed

Calculated values
Magnetization   3.12 Bohr magnetons per cell
Calculated volume   168 Å³ per cell
Electronic total energy   -4.1705 eV per atom

Lattice parameters (Å, degrees): 6.135 6.135 4.462 90.00 90.00 90.00
Sites, in units of the cell vectors:
Ba 0.000 0.500 0.000
Ba 0.500 0.000 0.000
Mn 0.000 0.000 0.000
Si 0.000 0.000 0.500
O 0.500 0.500 0.500